DyHo6Er2Th, optimized geometry, DFT PBE-GGA; formation energy = 0.150 eV/atom; N(E_F) = 14.33 states/eV/f.u.; VASP energy = -4.711 eV per atom
1.0
4.630 -7.474 0.000
4.630 7.474 0.000
-0.655 0.000 9.150
Dy Ho Er Th
2 12 4 2
direct
0.085 0.915 0.750 Dy
0.915 0.085 0.250 Dy
0.021 0.786 0.392 Ho
0.065 0.508 0.186 Ho
0.214 0.979 0.108 Ho
0.270 0.620 0.560 Ho
0.380 0.730 0.940 Ho
0.492 0.935 0.314 Ho
0.508 0.065 0.686 Ho
0.620 0.270 0.060 Ho
0.730 0.380 0.440 Ho
0.786 0.021 0.892 Ho
0.935 0.492 0.814 Ho
0.979 0.214 0.608 Ho
0.192 0.298 0.944 Er
0.298 0.192 0.444 Er
0.702 0.808 0.556 Er
0.808 0.702 0.056 Er
0.464 0.536 0.250 Th
0.536 0.464 0.750 Th